Entry 1:
First-principles (PBEsol) data for a geometry-optimized TcCN2F structure, as listed in Alexandria.

```
data_TcCN2F
_cell_length_a 3.796
_cell_length_b 3.796
_cell_length_c 3.950
_cell_angle_alpha 90.00
_cell_angle_beta 90.00
_cell_angle_gamma 90.00
_space_group_name_H-M_alt 'P 1'
_space_group_IT_number 1
loop_
_space_group_symop_operation_xyz
'x,y,z'
loop_
_atom_site_label
_atom_site_fract_x
_atom_site_fract_y
_atom_site_fract_z
Tc1 0.000 0.000 0.000
C1 0.500 0.500 0.500
N1 0.000 0.500 0.000
N2 0.500 0.000 0.000
F1 0.000 0.000 0.500
```

Space group: P4/mmm, No. 123
E_tot (eV/atom): -6.613
Mass density (g cm⁻³): 4.6
Volume (A^3/atom): 11.4

=====

Entry 2:
First-principles (PBEsol) data for a geometry-optimized Na2Zn2Hg structure, as listed in Alexandria.

```
data_Na2Zn2Hg
_cell_length_a 6.847
_cell_length_b 6.847
_cell_length_c 4.717
_cell_angle_alpha 90.00
_cell_angle_beta 90.00
_cell_angle_gamma 90.00
_space_group_name_H-M_alt 'P 1'
_space_group_IT_number 1
loop_
_space_group_symop_operation_xyz
'x,y,z'
loop_
_atom_site_label
_atom_site_fract_x
_atom_site_fract_y
_atom_site_fract_z
Na1 0.177 0.323 0.000
Na2 0.323 0.823 0.000
Na3 0.677 0.177 0.000
Na4 0.823 0.677 0.000
Zn1 0.128 0.628 0.500
Zn2 0.372 0.128 0.500
Zn3 0.628 0.872 0.500
Zn4 0.872 0.372 0.500
Hg1 0.000 0.000 0.500
Hg2 0.500 0.500 0.500
```

Space group: P4/mbm, No. 127
Formation enthalpy at 0 K (eV per formula unit): -0.07
E_tot (eV/atom): -1.320
Mass density (g cm⁻³): 5.7
Volume (A^3/atom): 22.1

=====

Entry 3:
First-principles (PBEsol) data for a geometry-optimized Ho12Co7 structure, as listed in Alexandria.

```
data_Ho12Co7
_cell_length_a 8.082
_cell_length_b 10.949
_cell_length_c 10.748
_cell_angle_alpha 90.00
_cell_angle_beta 125.20
_cell_angle_gamma 90.00
_space_group_name_H-M_alt 'P 1'
_space_group_IT_number 1
loop_
_space_group_symop_operation_xyz
'x,y,z'
loop_
_atom_site_label
_atom_site_fract_x
_atom_site_fract_y
_atom_site_fract_z
Ho1 0.004 0.160 0.342
Ho2 0.004 0.340 0.842
Ho3 0.237 0.570 0.808
Ho4 0.237 0.930 0.308
Ho5 0.253 0.199 0.176
Ho6 0.253 0.301 0.676
Ho7 0.264 0.705 0.539
Ho8 0.264 0.795 0.039
Ho9 0.268 0.069 0.913
Ho10 0.268 0.431 0.413
Ho11 0.344 0.503 0.145
Ho12 0.344 0.997 0.645
Ho13 0.656 0.003 0.355
Ho14 0.656 0.497 0.855
Ho15 0.732 0.569 0.587
Ho16 0.732 0.931 0.087
Ho17 0.736 0.205 0.961
Ho18 0.736 0.295 0.461
Ho19 0.747 0.699 0.324
Ho20 0.747 0.801 0.824
Ho21 0.763 0.070 0.692
Ho22 0.763 0.430 0.192
Ho23 0.996 0.660 0.158
Ho24 0.996 0.840 0.658
Co1 0.000 0.000 0.000
Co2 0.000 0.500 0.500
Co3 0.005 0.099 0.599
Co4 0.005 0.401 0.099
Co5 0.398 0.684 0.343
Co6 0.398 0.816 0.843
Co7 0.409 0.178 0.473
Co8 0.409 0.322 0.973
Co9 0.591 0.678 0.027
Co10 0.591 0.822 0.527
Co11 0.602 0.184 0.157
Co12 0.602 0.316 0.657
Co13 0.995 0.599 0.901
Co14 0.995 0.901 0.401
```

Space group: P2_1/c, No. 14
Formation enthalpy at 0 K (eV per formula unit): -3.81
E_tot (eV/atom): -6.177
Mass density (g cm⁻³): 10.2
Volume (A^3/atom): 20.5